Entry 1:
## ZnCr2TcN (GGA-PBE)

Data for a geometry-optimized ZnCr2TcN structure.

Output
- DOS at the Fermi energy (states/eV per cell) = 5.283
- magnetic moment (μB per cell) = 0.3
- uncorrected formation energy (eV/atom) = -0.099

Cell lengths 3.837, 3.837, 4.024 Å; angles 90.00, 90.00, 90.00 degrees
Each line ends with the local moment (μB).
Element x y z (fractional)
Cr 0.000 0.500 0.000  0.20
Cr 0.500 0.000 0.000  0.20
Zn 0.500 0.500 0.500  0.00
Tc 0.000 0.000 0.500  -0.05
N 0.000 0.000 0.000  -0.01

Entry 2:
## LiAs2Cl (GGA-PBE)

Data for a geometry-optimized LiAs2Cl structure.

Output
- polymorph energy (0 for the lowest one) (meV/atom) = 0
- magnetic moment (μB per cell) = 0.0
- uncorrected formation energy (eV/atom) = -0.822

Cell lengths 3.735, 3.735, 9.077 Å; angles 81.05, 81.05, 60.10 degrees
Element x y z (fractional)
As 0.033 0.033 0.958
As 0.738 0.738 0.805
Li 0.205 0.205 0.341
Cl 0.525 0.525 0.396

Entry 3:
## CaMg5Hg2 (GGA-PBE)

Data for a geometry-optimized CaMg5Hg2 structure.

Output
- E_form (meV per atom) = -214.2
- DOS at the Fermi energy (states/eV per cell) = 3.867
- magnetic moment (μB per cell) = 0.0

Cell lengths 4.360, 7.154, 7.154 Å; angles 74.17, 72.26, 72.26 degrees
Element x y z (fractional)
Ca 0.000 0.000 0.000
Mg 0.000 0.500 0.500
Mg 0.654 0.531 0.161
Mg 0.346 0.469 0.839
Mg 0.346 0.839 0.469
Mg 0.654 0.161 0.531
Hg 0.728 0.772 0.772
Hg 0.272 0.228 0.228

Entry 4:
## SmDyIrPd (GGA-PBE)

Data for a geometry-optimized SmDyIrPd structure.

Output
- E_form (meV per atom) = -826.9
- DOS at the Fermi energy (states/eV per cell) = 2.355
- magnetic moment (μB per cell) = 0.0

Cell lengths 4.951, 4.951, 4.951 Å; angles 60.00, 60.00, 60.00 degrees
Element x y z (fractional)
Ir 0.000 0.000 0.000
Pd 0.500 0.500 0.500
Sm 0.250 0.250 0.250
Dy 0.750 0.750 0.750

Q: Look up the magnetic moment of the third one.
A: 0.0 μB per cell

Q: What is the formula in the first record?
A: ZnCr2TcN